No. 1
VASP calculation (PBE) on a relaxed structure of Rb2BeSb.

Cell: 4.947 4.947 12.528 Å, 78.61 78.61 90.00°
Element x y z (fractional)
Sb1 0.000 0.000 0.000
Sb2 0.750 0.250 0.500
Rb1 0.610 0.125 0.250
Rb2 0.140 0.625 0.250
Rb3 0.375 0.390 0.750
Rb4 0.875 0.860 0.750
Be1 0.500 0.500 0.000
Be2 0.250 0.750 0.500

Summary:
The calculation puts the total moment at 0.00 μB/f.u. The total energy comes out at -1.720 eV per atom. Its formation energy without anion corrections is 0.726 eV per atom.

***

No. 2
VASP calculation (PBE) on a relaxed structure of Rb2BeSb.

Cell: 6.031 6.031 6.031 Å, 60.00 60.00 60.00°
Element x y z (fractional)
Sb1 0.500 0.500 0.500
Rb1 0.250 0.250 0.250
Rb2 0.750 0.750 0.750
Be1 0.000 0.000 0.000

Summary:
The calculation puts the total moment at 0.00 μB/f.u. The total energy comes out at -1.894 eV per atom. Its formation energy without anion corrections is 0.552 eV per atom.

***

No. 3
VASP calculation (PBE) on a relaxed structure of Rb2BeSb2.

Cell: 7.200 7.200 6.119 Å, 90.00 90.00 90.00°
Element x y z (fractional)
Sb1 0.352 0.852 0.000
Sb2 0.852 0.648 0.000
Sb3 0.648 0.148 0.000
Sb4 0.148 0.352 0.000
Rb1 0.169 0.669 0.500
Rb2 0.669 0.831 0.500
Rb3 0.831 0.331 0.500
Rb4 0.331 0.169 0.500
Be1 0.000 0.000 0.000
Be2 0.500 0.500 0.000

Summary:
The calculation puts the total moment at 0.00 μB/f.u. The total energy comes out at -2.778 eV per atom. Its formation energy without anion corrections is 0.003 eV per atom.

***

No. 4
VASP calculation (PBE) on a relaxed structure of RbBeSb2.

Cell: 6.243 6.243 5.486 Å, 55.32 55.32 60.00°
Element x y z (fractional)
Sb1 0.187 0.187 0.438
Sb2 0.813 0.813 0.562
Rb1 0.500 0.500 0.500
Be1 0.000 0.000 0.000

Summary:
The calculation puts the total moment at 0.00 μB/f.u. The total energy comes out at -2.958 eV per atom. Its formation energy without anion corrections is 0.277 eV per atom.

***

No. 5
VASP calculation (PBE) on a relaxed structure of RbBeSb2.

Cell: 5.979 5.979 8.976 Å, 70.55 70.55 90.00°
Element x y z (fractional)
Sb1 0.398 0.125 0.250
Sb2 0.352 0.625 0.250
Sb3 0.375 0.602 0.750
Sb4 0.875 0.648 0.750
Rb1 0.000 0.000 0.000
Rb2 0.750 0.250 0.500
Be1 0.500 0.500 0.000
Be2 0.250 0.750 0.500

Summary:
The calculation puts the total moment at 0.00 μB/f.u. The total energy comes out at -3.209 eV per atom. Its formation energy without anion corrections is 0.025 eV per atom.

***

No. 6
VASP calculation (PBE) on a relaxed structure of RbBeSb.

Cell: 4.425 6.145 9.180 Å, 109.55 103.95 90.00°
Element x y z (fractional)
Rb1 0.646 0.146 0.292
Rb2 0.354 0.854 0.708
Be1 0.757 0.500 0.000
Be2 0.243 0.500 0.000
Sb1 0.127 0.627 0.253
Sb2 0.873 0.373 0.747

Summary:
The calculation puts the total moment at 0.00 μB/f.u. The total energy comes out at -2.903 eV per atom. Its formation energy without anion corrections is 0.035 eV per atom.

***

No. 7
VASP calculation (PBE) on a relaxed structure of RbBeSbSe3.

Cell: 4.014 9.923 9.641 Å, 106.94 90.00 90.00°
Element x y z (fractional)
Rb1 0.250 0.177 0.221
Rb2 0.750 0.823 0.779
Be1 0.250 0.078 0.595
Be2 0.750 0.922 0.405
Sb1 0.250 0.655 0.145
Sb2 0.750 0.345 0.855
Se1 0.750 0.861 0.160
Se2 0.250 0.139 0.840
Se3 0.250 0.844 0.487
Se4 0.750 0.156 0.513
Se5 0.750 0.433 0.142
Se6 0.250 0.567 0.858

Summary:
The calculation puts the total moment at 0.00 μB/f.u. The total energy comes out at -3.917 eV per atom. Its formation energy without anion corrections is -0.706 eV per atom.

***

No. 8
VASP calculation (PBE) on a relaxed structure of Rb2BeSbSe4.

Cell: 6.328 8.008 12.444 Å, 84.24 75.27 66.73°
Last column: magnetic moment on the atom in μB.
Element x y z (fractional)
Rb1 0.180 0.000 0.640  0.00
Rb2 0.820 0.000 0.360  0.00
Rb3 0.570 0.500 0.860  0.00
Rb4 0.930 0.500 0.140  0.00
Be1 0.750 0.500 0.500  0.00
Be2 0.000 0.000 0.000  0.00
Sb1 0.250 0.500 0.500  0.06
Sb2 0.500 0.000 0.000  0.06
Se1 0.251 0.811 0.105  0.07
Se2 0.167 0.189 0.895  0.07
Se3 0.938 0.811 0.895  0.07
Se4 0.645 0.189 0.105  0.07
Se5 0.499 0.689 0.395  0.07
Se6 0.583 0.311 0.605  0.07
Se7 0.812 0.689 0.605  0.07
Se8 0.105 0.311 0.395  0.07

Summary:
The calculation puts the total moment at 0.57 μB/f.u. The total energy comes out at -3.667 eV per atom. Its formation energy without anion corrections is -0.701 eV per atom.

***

No. 9
VASP calculation (PBE) on a relaxed structure of RbBe2SnSb.

Cell: 5.015 6.195 5.015 Å, 90.00 90.00 90.00°
Last column: magnetic moment on the atom in μB.
Element x y z (fractional)
Sb1 0.000 0.000 0.000  0.01
Sn1 0.000 0.500 0.000  -0.06
Rb1 0.500 0.500 0.500  0.00
Be1 0.000 0.000 0.500  0.07
Be2 0.500 0.000 0.000  0.03

Summary:
The calculation puts the total moment at 0.17 μB/f.u. The total energy comes out at -2.431 eV per atom. Its formation energy without anion corrections is 0.878 eV per atom.

***

No. 10
VASP calculation (PBE) on a relaxed structure of RbBeV2Sb.

Cell: 5.323 5.323 4.979 Å, 90.00 90.00 90.00°
Last column: magnetic moment on the atom in μB.
Element x y z (fractional)
Sb1 0.000 0.000 0.000  -0.07
Be1 0.000 0.000 0.500  -0.06
Rb1 0.500 0.500 0.500  0.06
V1 0.000 0.500 0.000  2.92
V2 0.500 0.000 0.000  2.92

Summary:
The calculation puts the total moment at 7.54 μB/f.u. The total energy comes out at -4.199 eV per atom. Its formation energy without anion corrections is 1.211 eV per atom.

***

No. 11
VASP calculation (PBE) on a relaxed structure of RbBe2SbW.

Cell: 4.602 5.761 4.602 Å, 90.00 90.00 90.00°
Last column: magnetic moment on the atom in μB.
Element x y z (fractional)
Sb1 0.000 0.500 0.000  -0.11
Rb1 0.000 0.000 0.000  -0.05
W1 0.500 0.500 0.500  2.44
Be1 0.000 0.000 0.500  -0.03
Be2 0.500 0.000 0.000  -0.05

Summary:
The calculation puts the total moment at 2.78 μB/f.u. The total energy comes out at -2.173 eV per atom. Its formation energy without anion corrections is 2.926 eV per atom.

***

No. 12
VASP calculation (PBE) on a relaxed structure of Rb2BeSbW.

Cell: 7.201 4.403 7.201 Å, 90.00 90.00 90.00°
Last column: magnetic moment on the atom in μB.
Element x y z (fractional)
Sb1 0.000 0.000 0.000  0.01
Rb1 0.000 0.000 0.500  0.01
Rb2 0.500 0.000 0.000  0.01
W1 0.500 0.500 0.500  3.45
Be1 0.000 0.500 0.000  0.00

Summary:
The calculation puts the total moment at 5.00 μB/f.u. The total energy comes out at -3.170 eV per atom. Its formation energy without anion corrections is 1.378 eV per atom.

***

No. 13
VASP calculation (PBE) on a relaxed structure of RbScBe3.

Cell: 5.240 5.240 5.240 Å, 90.00 90.00 90.00°
Element x y z (fractional)
Sc1 0.000 0.000 0.000
Be1 0.000 0.500 0.000
Be2 0.000 0.000 0.500
Be3 0.500 0.000 0.000
Rb1 0.500 0.500 0.500

Summary:
The calculation puts the total moment at 0.00 μB/f.u. The total energy comes out at -2.278 eV per atom.

***

No. 14
VASP calculation (PBE) on a relaxed structure of RbSc3Be.

Cell: 4.990 4.990 4.990 Å, 90.00 90.00 90.00°
Element x y z (fractional)
Sc1 0.000 0.500 0.000
Sc2 0.000 0.000 0.500
Sc3 0.500 0.000 0.000
Be1 0.500 0.500 0.500
Rb1 0.000 0.000 0.000

Summary:
The calculation puts the total moment at 0.00 μB/f.u. The total energy comes out at -2.899 eV per atom.

***

No. 15
VASP calculation (PBE) on a relaxed structure of RbSc2Be.

Cell: 7.664 7.664 7.692 Å, 60.12 60.12 90.00°
Element x y z (fractional)
Sc1 0.376 0.125 0.250
Sc2 0.374 0.625 0.250
Sc3 0.375 0.624 0.750
Sc4 0.875 0.626 0.750
Be1 0.500 0.500 0.000
Be2 0.250 0.750 0.500
Rb1 0.000 0.000 0.000
Rb2 0.750 0.250 0.500

Summary:
The calculation puts the total moment at 0.00 μB/f.u. The total energy comes out at -3.412 eV per atom.

***

No. 16
VASP calculation (PBE) on a relaxed structure of RbScBe3.

Cell: 4.869 4.869 4.869 Å, 90.00 90.00 90.00°
Element x y z (fractional)
Sc1 0.500 0.500 0.500
Be1 0.000 0.500 0.000
Be2 0.000 0.000 0.500
Be3 0.500 0.000 0.000
Rb1 0.000 0.000 0.000

Summary:
The calculation puts the total moment at 0.00 μB/f.u. The total energy comes out at -1.543 eV per atom.

***

No. 17
VASP calculation (PBE) on a relaxed structure of RbSc2Be.

Cell: 12.487 12.487 12.487 Å, 14.98 14.98 14.98°
Last column: magnetic moment on the atom in μB.
Element x y z (fractional)
Sc1 0.926 0.926 0.926  0.25
Sc2 0.074 0.074 0.074  0.25
Be1 0.000 0.000 0.000  0.01
Rb1 0.500 0.500 0.500  0.00

Summary:
The calculation puts the total moment at 0.84 μB/f.u. The total energy comes out at -3.198 eV per atom.

***

No. 18
VASP calculation (PBE) on a relaxed structure of RbSc3Be.

Cell: 5.164 5.164 5.164 Å, 90.00 90.00 90.00°
Last column: magnetic moment on the atom in μB.
Element x y z (fractional)
Sc1 0.000 0.500 0.000  0.17
Sc2 0.000 0.000 0.500  0.13
Sc3 0.500 0.000 0.000  0.21
Be1 0.000 0.000 0.000  0.02
Rb1 0.500 0.500 0.500  0.03

Summary:
The calculation puts the total moment at 1.12 μB/f.u. The total energy comes out at -4.149 eV per atom.

***

No. 19
VASP calculation (PBE) on a relaxed structure of RbScBeSe2.

Cell: 5.741 4.732 5.741 Å, 90.00 90.00 90.00°
Last column: magnetic moment on the atom in μB.
Element x y z (fractional)
Sc1 0.500 0.500 0.500  0.33
Be1 0.000 0.500 0.000  -0.01
Se1 0.000 0.000 0.500  -0.09
Se2 0.500 0.000 0.000  -0.05
Rb1 0.000 0.000 0.000  -0.02

Summary:
The calculation puts the total moment at 0.19 μB/f.u. The total energy comes out at -2.537 eV per atom. Its formation energy without anion corrections is 1.062 eV per atom.

***

No. 20
VASP calculation (PBE) on a relaxed structure of Rb2ScBe2Se4.

Cell: 3.869 8.087 7.691 Å, 107.74 104.57 90.00°
Last column: magnetic moment on the atom in μB.
Element x y z (fractional)
Rb1 0.130 0.537 0.259  0.01
Rb2 0.870 0.463 0.741  0.01
Sc1 0.000 0.000 0.000  0.50
Be1 0.672 0.977 0.345  0.01
Be2 0.328 0.023 0.655  0.01
Se1 0.203 0.148 0.406  0.00
Se2 0.797 0.852 0.594  0.00
Se3 0.531 0.781 0.061  0.00
Se4 0.469 0.219 0.939  0.00

Summary:
The calculation puts the total moment at 0.87 μB/f.u. The total energy comes out at -4.338 eV per atom. Its formation energy without anion corrections is -1.043 eV per atom.